Record 1
Zr2Os2W: optimized geometry, PBE.

Results
space group	I4/mmm (139)
energy relative to the elements	0.800	eV/atom
energy above the most stable polymorph in this dataset	0.914	eV/atom

a = 6.3525 Å, b = 6.3525 Å, c = 6.3525 Å
α = 141.01°, β = 141.01°, γ = 56.33°
Last column: magnetic moment on the atom in μB.
Fractional coordinates of all 5 atoms:
Zr 0.2500 0.7500 0.5000  0.00
Zr 0.7500 0.2500 0.5000  0.00
W 0.0000 0.0000 0.0000  0.19
Os 0.6054 0.6054 0.0000  0.01
Os 0.3946 0.3946 0.0000  0.01

***

Record 2
Rb2PbCl3: optimized geometry, PBE.

Results
space group	C2/c (15)

a = 6.6007 Å, b = 9.9137 Å, c = 7.6989 Å
α = 108.80°, β = 115.38°, γ = 90.00°
Last column: magnetic moment on the atom in μB.
Fractional coordinates of all 12 atoms:
Cl 0.1456 0.5728 0.2917  0.01
Cl 0.8544 0.4272 0.7083  0.01
Cl 0.5032 0.7500 0.0000  0.01
Cl 0.4968 0.2500 0.0000  0.01
Cl 0.1461 0.0728 0.2917  0.01
Cl 0.8539 0.9272 0.7083  0.01
Rb 0.6699 0.5851 0.3403  0.00
Rb 0.3301 0.4149 0.6597  0.00
Rb 0.6704 0.0851 0.3403  0.00
Rb 0.3296 0.9149 0.6597  0.00
Pb 0.0014 0.7500 0.0000  0.27
Pb 0.9986 0.2500 0.0000  0.27

***

no.,VASP energy (eV per cell)
1,-48.51
2,-38.78